1.
# LaIn2Ru2, relaxed, DFT PBE
data_LaIn2Ru2
_cell_length_a 4.827
_cell_length_b 4.827
_cell_length_c 9.775
_cell_angle_alpha 90.00
_cell_angle_beta 90.00
_cell_angle_gamma 90.00
_space_group_name_H-M_alt 'I 4/m m m'
_space_group_IT_number 139
_space_group_name_Hall '-I 4 2'
loop_
_atom_site_label
_atom_site_type_symbol
_atom_site_fract_x
_atom_site_fract_y
_atom_site_fract_z
La1 La 0.000 0.000 0.000
In1 In 0.000 0.000 0.357
Ru1 Ru 0.000 0.500 0.250
# - E_form: -5 meV per atom
# - E_tot: -28.981 eV/f.u.

---

2.
# B2C3, relaxed, DFT PBE
data_B2C3
_cell_length_a 2.5709
_cell_length_b 2.5709
_cell_length_c 33.8883
_cell_angle_alpha 90.00
_cell_angle_beta 90.00
_cell_angle_gamma 120.00
_space_group_name_H-M_alt 'R -3 m'
_space_group_IT_number 166
_space_group_name_Hall '-R 3 2"'
loop_
_atom_site_label
_atom_site_type_symbol
_atom_site_fract_x
_atom_site_fract_y
_atom_site_fract_z
B1 B 0.0000 0.0000 0.0802
B2 B 0.0000 0.0000 0.3181
C1 C 0.0000 0.0000 0.1292
C2 C 0.0000 0.0000 0.2725
C3 C 0.0000 0.0000 0.4757
# - E_form: 338 meV per atom
# - E_tot: -39.335 eV/f.u.

---

3.
# EuAgRh, relaxed, DFT PBE
data_EuAgRh
_cell_length_a 3.549
_cell_length_b 3.549
_cell_length_c 10.079
_cell_angle_alpha 90.00
_cell_angle_beta 90.00
_cell_angle_gamma 90.00
_space_group_name_H-M_alt 'I 4 m m'
_space_group_IT_number 107
_space_group_name_Hall 'I 4 -2'
loop_
_atom_site_label
_atom_site_type_symbol
_atom_site_fract_x
_atom_site_fract_y
_atom_site_fract_z
Eu1 Eu 0.000 0.000 0.000
Ag1 Ag 0.000 0.000 0.698
Rh1 Rh 0.000 0.000 0.330
# - E_form: -90 meV per atom
# - E_tot: -20.746 eV/f.u.

---

4.
# Pr5GaPd2, relaxed, DFT PBE
data_Pr5GaPd2
_cell_length_a 8.085
_cell_length_b 8.085
_cell_length_c 13.631
_cell_angle_alpha 90.00
_cell_angle_beta 90.00
_cell_angle_gamma 90.00
_space_group_name_H-M_alt 'I 4/m c m'
_space_group_IT_number 140
_space_group_name_Hall '-I 4 2c'
loop_
_atom_site_label
_atom_site_type_symbol
_atom_site_fract_x
_atom_site_fract_y
_atom_site_fract_z
Pr1 Pr 0.000 0.000 0.000
Pr2 Pr 0.162 0.338 0.145
Ga1 Ga 0.000 0.000 0.250
Pd1 Pd 0.129 0.371 0.500
# - E_form: -513 meV per atom
# - E_tot: -41.415 eV/f.u.

---

5.
# SrLaPdO4, relaxed, DFT PBE
data_SrLaPdO4
_cell_length_a 4.095
_cell_length_b 4.095
_cell_length_c 12.286
_cell_angle_alpha 90.00
_cell_angle_beta 90.00
_cell_angle_gamma 90.00
_space_group_name_H-M_alt 'I 4 m m'
_space_group_IT_number 107
_space_group_name_Hall 'I 4 -2'
loop_
_atom_site_label
_atom_site_type_symbol
_atom_site_fract_x
_atom_site_fract_y
_atom_site_fract_z
Sr1 Sr 0.000 0.000 0.000
La1 La 0.000 0.000 0.722
Pd1 Pd 0.000 0.000 0.364
O1 O 0.000 0.000 0.193
O2 O 0.000 0.000 0.537
O3 O 0.000 0.500 0.351
# - Energy relative to the elements, uncorrected: -2.136 eV per atom
# - E_tot: -46.585 eV/f.u.

---

Q: Among the records above, which one has the lowest E_tot?
A: SrLaPdO4